## CaTmAg4 (GGA-PBE)

Data for crystalline CaTmAg4 at its relaxed geometry.

For the energy of formation, the calculation gives -1.05 eV per formula unit. The density of states at the Fermi level is 1.541 states/eV/atom.

Unit cell a=8.0814 b=8.0814 c=8.0814 alpha=90.00 beta=90.00 gamma=90.00
Space group F-43m (No. 216)
Inequivalent atoms, fractional coordinates:
Ca 0.0000 0.0000 0.0000 [4 per cell]
Tm 0.2500 0.2500 0.7500 [4 per cell]
Ag 0.1250 0.1250 0.3750 [16 per cell]

## LaThGa4 (GGA-PBE)

Data for crystalline LaThGa4 at its relaxed geometry.

For the energy of formation, the calculation gives -2.99 eV per formula unit. The density of states at the Fermi level is 0.934 states/eV/atom.

Unit cell a=8.0474 b=8.0474 c=8.0474 alpha=90.00 beta=90.00 gamma=90.00
Space group F-43m (No. 216)
Inequivalent atoms, fractional coordinates:
La 0.0000 0.0000 0.0000 [4 per cell]
Th 0.2500 0.2500 0.2500 [4 per cell]
Ga 0.1246 0.1246 0.6246 [16 per cell]

## LaHoNi2 (GGA-PBE)

Data for crystalline LaHoNi2 at its relaxed geometry.

For the energy of formation, the calculation gives -1.19 eV per formula unit. The density of states at the Fermi level is 1.096 states/eV/atom.

Unit cell a=6.9161 b=6.9161 c=6.9161 alpha=90.00 beta=90.00 gamma=90.00
Space group Fm-3m (No. 225)
Inequivalent atoms, fractional coordinates:
La 0.0000 0.0000 0.0000 [4 per cell]
Ho 0.0000 0.0000 0.5000 [4 per cell]
Ni 0.2500 0.2500 0.2500 [8 per cell]

## K3OF (GGA-PBE)

Data for crystalline K3OF at its relaxed geometry.

Its formation energy (no corrections) is -1.657 eV per atom.

Unit cell a=7.3371 b=3.7448 c=8.7313 alpha=90.00 beta=106.49 gamma=90.00
Space group P2_1/m (No. 11)
Inequivalent atoms, fractional coordinates:
K 0.0188 0.2500 0.2922 [2 per cell]
K 0.3260 0.7500 0.0318 [2 per cell]
K 0.4118 0.7500 0.6499 [2 per cell]
O 0.2621 0.2500 0.8099 [2 per cell]
F 0.2959 0.7500 0.3317 [2 per cell]

## Sc2Fe2Au (GGA-PBE)

Data for crystalline Sc2Fe2Au at its relaxed geometry.

For the energy of formation, the calculation gives 0.60 eV per formula unit. The density of states at the Fermi level is 1.361 states/eV/atom.

Unit cell a=4.9388 b=4.9388 c=7.3916 alpha=90.00 beta=90.00 gamma=90.00
Space group I4/mmm (No. 139)
Inequivalent atoms, fractional coordinates:
Sc 0.0000 0.5000 0.2500 [4 per cell]
Fe 0.0000 0.0000 0.1487 [4 per cell]
Au 0.0000 0.0000 0.5000 [2 per cell]

## ZrTiReNi (GGA-PBE)

Data for crystalline ZrTiReNi at its relaxed geometry.

For the energy of formation, the calculation gives -1.29 eV per formula unit. The density of states at the Fermi level is 0.833 states/eV/atom.

Unit cell a=6.3531 b=6.3531 c=6.3531 alpha=90.00 beta=90.00 gamma=90.00
Space group F-43m (No. 216)
Inequivalent atoms, fractional coordinates:
Zr 0.0000 0.0000 0.0000 [4 per cell]
Ti 0.0000 0.0000 0.5000 [4 per cell]
Re 0.2500 0.2500 0.2500 [4 per cell]
Ni 0.2500 0.2500 0.7500 [4 per cell]

## Cs3K4Na4 (GGA-PBE)

Data for crystalline Cs3K4Na4 at its relaxed geometry.

For the energy of formation, the calculation gives 0.32 eV per formula unit. The density of states at the Fermi level is 0.642 states/eV/atom.

Unit cell a=5.8635 b=11.9405 c=22.1721 alpha=90.00 beta=90.00 gamma=90.00
Space group Immm (No. 71)
Inequivalent atoms, fractional coordinates:
Cs 0.0000 0.0000 0.0000 [2 per cell]
Cs 0.0000 0.5000 0.1171 [4 per cell]
K 0.0000 0.3034 0.3301 [8 per cell]
Na 0.0000 0.0000 0.2311 [4 per cell]
Na 0.0000 0.1775 0.5000 [4 per cell]

## La2Pr2Ni15 (GGA-PBE)

Data for crystalline La2Pr2Ni15 at its relaxed geometry.

For the energy of formation, the calculation gives -2.49 eV per formula unit. The density of states at the Fermi level is 1.306 states/eV/atom.

Unit cell a=8.7186 b=8.7186 c=12.7736 alpha=90.00 beta=90.00 gamma=120.00
Space group R-3m (No. 166, hexagonal axes)
Inequivalent atoms, fractional coordinates:
La 0.0000 0.0000 0.1397 [6 per cell]
Pr 0.0000 0.0000 0.3872 [6 per cell]
Ni 0.0000 0.3154 0.5000 [18 per cell]
Ni 0.0000 0.5000 0.0000 [9 per cell]
Ni 0.0124 0.5062 0.6581 [18 per cell]

## Mn2MoPdW (GGA-PBE)

Data for crystalline Mn2MoPdW at its relaxed geometry.

For the energy of formation, the calculation gives 9.37 eV per formula unit. The density of states at the Fermi level is 1.820 states/eV/atom.

Unit cell a=4.2806 b=4.2806 c=4.7362 alpha=90.00 beta=90.00 gamma=90.00
Space group P4/mmm (No. 123)
Inequivalent atoms, fractional coordinates:
Mn 0.0000 0.5000 0.0000 [2 per cell]
Mo 0.0000 0.0000 0.0000 [1 per cell]
Pd 0.0000 0.0000 0.5000 [1 per cell]
W 0.5000 0.5000 0.5000 [1 per cell]

## LiMg4Ag (GGA-PBE)

Data for crystalline LiMg4Ag at its relaxed geometry.

For the energy of formation, the calculation gives 0.03 eV per formula unit. The density of states at the Fermi level is 0.286 states/eV/atom.

Unit cell a=8.4162 b=4.8519 c=7.2061 alpha=90.00 beta=112.91 gamma=90.00
Space group C2/m (No. 12)
Inequivalent atoms, fractional coordinates:
Li 0.0000 0.0000 0.0000 [2 per cell]
Mg 0.1336 0.5000 0.8980 [4 per cell]
Mg 0.2086 0.0000 0.6266 [4 per cell]
Ag 0.0000 0.5000 0.5000 [2 per cell]

## MgAlGaPb2 (GGA-PBE)

Data for crystalline MgAlGaPb2 at its relaxed geometry.

For the energy of formation, the calculation gives 2.29 eV per formula unit. The density of states at the Fermi level is 0.584 states/eV/atom.

Unit cell a=5.4862 b=5.4862 c=5.1967 alpha=90.00 beta=90.00 gamma=90.00
Space group P4/mmm (No. 123)
Inequivalent atoms, fractional coordinates:
Mg 0.0000 0.0000 0.0000 [1 per cell]
Al 0.0000 0.0000 0.5000 [1 per cell]
Ga 0.5000 0.5000 0.0000 [1 per cell]
Pb 0.0000 0.5000 0.5000 [2 per cell]

## MgRh2Pb (GGA-PBE)

Data for crystalline MgRh2Pb at its relaxed geometry.

For the energy of formation, the calculation gives -0.21 eV per formula unit. The density of states at the Fermi level is 1.235 states/eV/atom.

Unit cell a=3.5078 b=3.5078 c=5.7839 alpha=90.00 beta=90.00 gamma=90.00
Space group P4mm (No. 99)
Inequivalent atoms, fractional coordinates:
Mg 0.0000 0.0000 0.0000 [1 per cell]
Rh 0.0000 0.0000 0.5366 [1 per cell]
Rh 0.5000 0.5000 0.8234 [1 per cell]
Pb 0.5000 0.5000 0.3214 [1 per cell]

E_tot: -75.69, -109.78, -89.02, -36.81, -64.52, -143.85, -23.80, -325.88, -37.94, -22.24, -13.49, -20.21 (eV per cell)
Magnetization: 0.000, 0.000, 0.000, 0.005, 0.567, 0.000, 0.000, 0.083, 0.004, 0.000, 0.000, 0.000 (μB per atom)